Record 1
AcDy4Cd | PBE | optimized geometry

Cell and atoms, written as POSCAR:
```
AcDy4Cd
1.0
3.688 0.000 0.000
0.000 3.688 0.000
0.000 0.000 14.028
Ac Dy Cd
1 4 1
Cartesian
0.000 0.000 0.000
0.000 0.000 5.050
0.000 0.000 8.978
1.844 1.844 2.657
1.844 1.844 11.371
1.844 1.844 7.014
```

Output
As for the symmetry: P4/mmm. For the energy, the calculation gives -23.83 eV for the cell shown. The value obtained for the density of states at the Fermi level is 8.13 states/eV/cell. The theoretical density is 8.6 g cm⁻³. The value obtained for the formation energy is -0.067 eV per atom.

---

Record 2
Mg2CdI2 | PBE | optimized geometry

Cell and atoms, written as POSCAR:
```
Mg2CdI2
1.0
9.049 0.000 0.000
0.000 9.049 0.000
0.000 0.000 3.834
Mg Cd I
4 2 4
Cartesian
1.446 3.078 0.000
3.078 7.602 0.000
5.971 1.446 0.000
7.602 5.971 0.000
0.000 0.000 1.917
4.524 4.524 1.917
1.320 5.845 1.917
3.204 1.320 1.917
5.845 7.728 1.917
7.728 3.204 1.917
```

Output
The calculation puts the formation energy (no corrections) at -0.05 eV per atom. As for the symmetry: P4/mbm. For the energy, the calculation gives -14.92 eV for the cell shown. The value obtained for the density of states at the Fermi level is 5.74 states/eV/cell. The theoretical density is 4.4 g cm⁻³.

---

Record 3
Np2Al8Au | PBE | optimized geometry

Cell and atoms, written as POSCAR:
```
Np2Al8Au
1.0
4.325 0.000 0.000
0.000 4.325 0.000
0.000 0.000 11.196
Np Al Au
2 8 1
Cartesian
0.000 0.000 2.081
0.000 0.000 9.115
0.000 2.162 0.000
0.000 2.162 4.085
0.000 2.162 7.112
2.162 0.000 0.000
2.162 0.000 4.085
2.162 0.000 7.112
2.162 2.162 2.123
2.162 2.162 9.073
0.000 0.000 5.598
```

Output
As for the symmetry: P4/mmm. For the energy, the calculation gives -61.04 eV for the cell shown. The value obtained for the density of states at the Fermi level is 16.12 states/eV/cell. The theoretical density is 7.0 g cm⁻³. The value obtained for the formation energy is -0.177 eV per atom.

---

Record 4
Sm4Er5In | PBE | optimized geometry

Cell and atoms, written as POSCAR:
```
Sm4Er5In
1.0
3.567 0.000 0.000
0.000 4.878 0.000
0.000 0.000 17.637
Sm Er In
4 5 1
Cartesian
0.000 0.000 1.813
0.000 0.000 5.338
0.000 0.000 12.299
0.000 0.000 15.825
1.783 2.439 0.000
1.783 2.439 3.646
1.783 2.439 7.209
1.783 2.439 10.428
1.783 2.439 13.991
0.000 0.000 8.819
```

Output
As for the symmetry: Pmmm. For the energy, the calculation gives -45.05 eV for the cell shown. The value obtained for the density of states at the Fermi level is 11.50 states/eV/cell. The theoretical density is 8.4 g cm⁻³. The value obtained for the formation energy is -0.062 eV per atom.

---

Record 5
ScCd4Hg | PBE | optimized geometry

Cell and atoms, written as POSCAR:
```
ScCd4Hg
1.0
0.000 4.114 4.114
4.114 0.000 4.114
4.114 4.114 0.000
Sc Cd Hg
1 4 1
Cartesian
0.000 0.000 0.000
5.146 3.081 3.081
3.081 5.146 3.081
3.081 3.081 5.146
5.146 5.146 5.146
2.057 2.057 2.057
```

Output
As for the symmetry: F-43m. For the energy, the calculation gives -10.16 eV for the cell shown. The value obtained for the density of states at the Fermi level is 2.60 states/eV/cell. The theoretical density is 8.3 g cm⁻³. The value obtained for the formation energy is 0.022 eV per atom.

---

Record 6
Pr8Ir3PtBr4 | PBE | optimized geometry

Cell and atoms, written as POSCAR:
```
Pr8Ir3PtBr4
1.0
7.302 -4.216 0.000
7.302 4.216 0.000
-4.875 0.000 7.823
Pr Ir Pt Br
8 3 1 4
Cartesian
3.626 2.147 5.443
-0.003 0.000 5.446
2.386 0.000 2.381
6.103 2.147 2.381
3.626 -2.147 5.443
7.344 0.000 5.443
9.732 0.000 2.378
6.103 -2.147 2.381
-2.437 0.000 3.912
1.214 2.108 3.912
1.214 -2.108 3.912
4.865 0.000 3.912
0.000 0.000 0.000
3.651 2.108 0.000
3.651 -2.108 0.000
7.302 0.000 0.000
```

Output
The calculation puts the formation energy (no corrections) at -1.13 eV per atom. As for the symmetry: C2/m. For the energy, the calculation gives -95.67 eV for the cell shown. The value obtained for the density of states at the Fermi level is 6.68 states/eV/cell. The theoretical density is 7.6 g cm⁻³.

---

Record 7
Sm12Ho5Th2 | PBE | optimized geometry

Cell and atoms, written as POSCAR:
```
Sm12Ho5Th2
1.0
7.863 -4.685 0.000
7.863 4.685 0.000
-0.337 0.000 8.706
Sm Ho Th
12 5 2
Cartesian
0.833 0.000 2.953
5.706 2.846 2.786
5.262 1.680 6.624
9.683 2.846 5.920
6.639 0.000 1.050
10.126 1.680 2.083
5.262 -1.680 6.624
8.750 0.000 7.656
5.706 -2.846 2.786
10.126 -1.680 2.083
9.683 -2.846 5.920
14.555 0.000 5.753
3.210 0.000 0.300
4.067 0.000 3.763
7.694 0.000 4.353
11.322 0.000 4.943
12.179 0.000 8.407
7.863 3.119 0.000
7.863 -3.119 0.000
```

Output
As for the symmetry: C2/m. For the energy, the calculation gives -91.53 eV for the cell shown. The value obtained for the density of states at the Fermi level is 25.92 states/eV/cell. The theoretical density is 8.0 g cm⁻³. The value obtained for the formation energy is 0.149 eV per atom.

---

Record 8
ReMo3W6 | PBE | optimized geometry

Cell and atoms, written as POSCAR:
```
ReMo3W6
1.0
2.718 0.000 0.000
-0.832 10.442 0.000
-0.664 -1.148 11.337
Re Mo W
2 6 12
Cartesian
-0.293 1.319 4.572
1.514 7.975 6.766
-0.750 6.560 4.493
0.009 -0.017 2.212
0.014 3.915 0.010
1.207 5.379 11.328
1.213 9.311 9.125
1.972 2.734 6.844
-0.579 6.681 9.056
0.164 3.977 4.541
0.054 7.835 2.243
0.510 0.084 6.806
0.890 1.314 0.009
0.240 4.063 9.083
0.981 5.231 2.255
0.331 7.980 11.328
0.711 9.210 4.531
1.167 1.459 9.094
1.057 5.317 6.796
1.801 2.613 2.281
```

Output
As for the symmetry: P-1. For the energy, the calculation gives -243.20 eV for the cell shown. The value obtained for the density of states at the Fermi level is 10.90 states/eV/cell. The theoretical density is 16.3 g cm⁻³. The value obtained for the formation energy is 0.106 eV per atom.

---

Record 9
BaCoRe2 | PBE | optimized geometry

Cell and atoms, written as POSCAR:
```
BaCoRe2
1.0
4.660 0.000 0.000
0.000 4.660 0.000
0.000 0.000 3.295
Ba Co Re
1 1 2
Cartesian
0.000 0.000 0.000
2.330 2.330 0.000
0.000 2.330 1.648
2.330 0.000 1.648
```

Output
As for the symmetry: P4/mmm. For the energy, the calculation gives -26.32 eV for the cell shown. The value obtained for the density of states at the Fermi level is 5.45 states/eV/cell. The theoretical density is 13.2 g cm⁻³. The value obtained for the formation energy is 1.901 eV per atom.

---

Record 10
Nd6S4N3Cl | PBE | optimized geometry

Cell and atoms, written as POSCAR:
```
Nd6S4N3Cl
1.0
11.822 0.000 0.000
0.000 4.025 0.000
0.000 0.000 26.701
Nd S N Cl
24 16 12 4
Cartesian
0.655 1.006 5.106
0.672 1.006 24.723
1.036 1.006 12.266
1.373 1.006 18.825
2.746 3.018 22.189
2.769 3.018 15.092
3.142 1.006 1.741
3.165 1.006 8.839
4.538 3.018 5.475
4.875 3.018 25.616
5.239 3.018 11.373
5.256 3.018 18.457
6.566 1.006 8.244
6.583 1.006 15.328
6.947 1.006 1.085
7.284 1.006 21.226
8.657 3.018 17.862
8.680 3.018 24.960
9.053 1.006 11.609
9.076 1.006 4.512
10.449 3.018 7.875
10.786 3.018 14.435
11.150 3.018 1.977
11.167 3.018 21.595
0.542 3.018 16.931
1.721 3.018 0.197
2.159 3.018 3.775
2.550 3.018 10.587
3.361 1.006 23.937
3.752 1.006 17.125
4.190 1.006 13.547
5.369 1.006 3.581
6.453 3.018 23.120
7.632 3.018 13.154
8.070 3.018 9.575
8.461 3.018 2.763
9.272 1.006 16.114
9.663 1.006 22.926
10.101 1.006 26.504
11.280 1.006 9.769
0.709 3.018 23.393
1.155 3.018 13.594
1.312 3.018 20.296
4.599 1.006 6.945
4.756 1.006 0.244
5.202 1.006 10.042
6.620 3.018 16.659
7.066 3.018 26.457
7.223 3.018 19.756
10.510 1.006 6.405
10.667 1.006 13.107
11.113 1.006 3.308
1.555 3.018 7.161
4.356 1.006 20.512
7.466 3.018 6.189
10.267 1.006 19.540
```

Output
The calculation puts the formation energy (no corrections) at -1.81 eV per atom. As for the symmetry: Pnma. For the energy, the calculation gives -388.85 eV for the cell shown. The theoretical density is 5.6 g cm⁻³.

---

Record 11
LiSiRu2 | PBE | optimized geometry

Cell and atoms, written as POSCAR:
```
LiSiRu2
1.0
1.493 -4.936 0.000
1.493 4.936 0.000
0.000 0.000 7.178
Li Si Ru
2 2 4
Cartesian
1.493 4.576 5.383
1.493 -4.576 1.794
1.493 2.580 1.794
1.493 -2.580 5.383
1.493 1.253 3.805
1.493 1.253 6.962
1.493 -1.253 0.216
1.493 -1.253 3.373
```

Output
The calculation puts the formation energy (no corrections) at -0.27 eV per atom. As for the symmetry: Cmcm. For the energy, the calculation gives -53.91 eV for the cell shown. The value obtained for the density of states at the Fermi level is 5.11 states/eV/cell. The theoretical density is 7.4 g cm⁻³.

---

Record 12
Sm3Ga3Ge | PBE | optimized geometry

Cell and atoms, written as POSCAR:
```
Sm3Ga3Ge
1.0
-2.081 2.166 9.298
2.081 -2.166 9.298
2.081 2.166 -9.298
Sm Ga Ge
3 3 1
Cartesian
0.000 0.000 0.000
2.081 0.000 3.392
0.000 0.000 6.854
0.000 0.000 9.991
0.000 2.166 4.680
0.000 0.000 15.400
0.000 2.166 2.206
```

Output
As for the symmetry: Imm2. For the energy, the calculation gives -32.70 eV for the cell shown. The value obtained for the density of states at the Fermi level is 5.04 states/eV/cell. The theoretical density is 7.3 g cm⁻³. The value obtained for the formation energy is -0.691 eV per atom.

---

Copy entry 7 word for word.
Sm12Ho5Th2 | PBE | optimized geometry

Cell and atoms, written as POSCAR:
```
Sm12Ho5Th2
1.0
7.863 -4.685 0.000
7.863 4.685 0.000
-0.337 0.000 8.706
Sm Ho Th
12 5 2
Cartesian
0.833 0.000 2.953
5.706 2.846 2.786
5.262 1.680 6.624
9.683 2.846 5.920
6.639 0.000 1.050
10.126 1.680 2.083
5.262 -1.680 6.624
8.750 0.000 7.656
5.706 -2.846 2.786
10.126 -1.680 2.083
9.683 -2.846 5.920
14.555 0.000 5.753
3.210 0.000 0.300
4.067 0.000 3.763
7.694 0.000 4.353
11.322 0.000 4.943
12.179 0.000 8.407
7.863 3.119 0.000
7.863 -3.119 0.000
```

Output
As for the symmetry: C2/m. For the energy, the calculation gives -91.53 eV for the cell shown. The value obtained for the density of states at the Fermi level is 25.92 states/eV/cell. The theoretical density is 8.0 g cm⁻³. The value obtained for the formation energy is 0.149 eV per atom.

---

> The highest energy belongs to which entry?

ScCd4Hg

---

Repeat the first record exactly.
AcDy4Cd | PBE | optimized geometry

Cell and atoms, written as POSCAR:
```
AcDy4Cd
1.0
3.688 0.000 0.000
0.000 3.688 0.000
0.000 0.000 14.028
Ac Dy Cd
1 4 1
Cartesian
0.000 0.000 0.000
0.000 0.000 5.050
0.000 0.000 8.978
1.844 1.844 2.657
1.844 1.844 11.371
1.844 1.844 7.014
```

Output
As for the symmetry: P4/mmm. For the energy, the calculation gives -23.83 eV for the cell shown. The value obtained for the density of states at the Fermi level is 8.13 states/eV/cell. The theoretical density is 8.6 g cm⁻³. The value obtained for the formation energy is -0.067 eV per atom.

---

Please write out number 9 again, unchanged.
BaCoRe2 | PBE | optimized geometry

Cell and atoms, written as POSCAR:
```
BaCoRe2
1.0
4.660 0.000 0.000
0.000 4.660 0.000
0.000 0.000 3.295
Ba Co Re
1 1 2
Cartesian
0.000 0.000 0.000
2.330 2.330 0.000
0.000 2.330 1.648
2.330 0.000 1.648
```

Output
As for the symmetry: P4/mmm. For the energy, the calculation gives -26.32 eV for the cell shown. The value obtained for the density of states at the Fermi level is 5.45 states/eV/cell. The theoretical density is 13.2 g cm⁻³. The value obtained for the formation energy is 1.901 eV per atom.